(1)
Density functional theory data (PBE-GGA) for crystalline PmPrNi at its relaxed geometry.

## Properties
Density of states at the Fermi level = 1.158 states/eV per atom

a = 12.5732 Å, b = 3.8133 Å, c = 8.3103 Å
α = 90.00°, β = 126.71°, γ = 90.00°
Closest atoms and distances in Å follow each position.
Space group Cm (No. 8)
Unique sites:
Pm 0.0000 0.0000 0.0000 [2 per cell]  4 Ni 2.88-3.03
Pm 0.0851 0.5000 0.6911 [2 per cell]  3 Ni 2.85-3.02
Pr 0.2464 0.0000 0.5388 [2 per cell]  3 Ni 2.88-2.98
Pr 0.3255 0.5000 0.2264 [2 per cell]  4 Ni 2.91-3.06
Ni 0.0375 0.5000 0.2896 [2 per cell]  1 Ni 2.73, 3 Pm 2.88-3.02, 2 Pr 2.88
Ni 0.2902 0.0000 0.9332 [2 per cell]  1 Ni 2.73, 4 Pm 2.85-3.03, 3 Pr 2.91-2.98

=====

(2)
Density functional theory data (PBE-GGA) for crystalline SrCa2RuW at its relaxed geometry.

## Properties
Density of states at the Fermi level = 0.909 states/eV per atom

a = 5.3543 Å, b = 5.3543 Å, c = 5.5434 Å
α = 90.00°, β = 90.00°, γ = 90.00°
Closest atoms and distances in Å follow each position.
Space group P4/mmm (No. 123)
Unique sites:
Sr 0.0000 0.0000 0.0000 [1 per cell]  2 Ru 2.77
Ca 0.0000 0.5000 0.5000 [2 per cell]  2 Ru 2.68
Ru 0.0000 0.0000 0.5000 [1 per cell]  4 Ca 2.68, 2 Sr 2.77
W 0.5000 0.5000 0.0000 [1 per cell]  4 Sr 3.79, 8 Ca 3.85

=====

(3)
Density functional theory data (PBE-GGA) for crystalline PmFeIr at its relaxed geometry.

## Properties
Density of states at the Fermi level = 0.863 states/eV per atom

a = 4.1838 Å, b = 10.4820 Å, c = 5.3125 Å
α = 90.00°, β = 90.00°, γ = 90.00°
Closest atoms and distances in Å follow each position.
Space group Cmcm (No. 63)
Unique sites:
Pm 0.0000 0.2108 0.2500 [4 per cell]  5 Ir 2.93-3.12
Fe 0.0000 0.5000 0.0000 [4 per cell]  4 Ir 2.58, 2 Fe 2.66
Ir 0.0000 0.0683 0.7500 [4 per cell]  4 Fe 2.58

=====

| no. | energy of formation (eV/atom) | E (eV for the cell shown) | energy above the most stable polymorph in this dataset (meV/atom) |
| --- | --- | --- | --- |
| 1 | -0.209 | -63.75 | 0 |
| 2 | 1.239 | -21.72 | 0 |
| 3 | -0.317 | -92.10 | 106 |